# 1
Ce5PuHg5 (PBE, optimized geometry); VASP energy = -4.38 eV per atom; symmetry = No. 12
1.0
4.9106 0.0000 1.6045
1.7741 7.2182 2.8873
-0.0260 -0.3219 8.3965
Ce Pu Hg
5 1 5
direct
0.1498 0.6692 0.0311
0.1308 0.0518 0.6865
0.5000 0.0000 0.0000
0.8692 0.9482 0.3135
0.8501 0.3308 0.9689
0.0000 0.0000 0.0000
0.2439 0.2419 0.2704
0.4309 0.4223 0.7159
0.0000 0.5000 0.5000
0.5691 0.5777 0.2841
0.7561 0.7581 0.7296

# 2
Ce4PuHg (PBE, optimized geometry); VASP energy = -6.42 eV per atom; symmetry = No. 14
1.0
9.4812 -0.8998 0.0000
-2.4928 10.5259 0.0000
0.0000 0.0000 6.3635
Ce Pu Hg
16 4 4
direct
0.3443 0.0966 0.4959
0.9995 0.1122 0.6892
0.5765 0.0779 0.2187
0.5307 0.3251 0.7682
0.9693 0.1749 0.2682
0.9235 0.4221 0.7187
0.5005 0.3878 0.1892
0.8443 0.5966 0.0041
0.1557 0.4034 0.9959
0.4995 0.6122 0.8108
0.0765 0.5779 0.2813
0.0307 0.8251 0.7318
0.4693 0.6749 0.2318
0.4235 0.9221 0.7813
0.0005 0.8878 0.3108
0.6557 0.9034 0.5041
0.7455 0.1652 0.7552
0.7545 0.3348 0.2552
0.2455 0.6652 0.7448
0.2545 0.8348 0.2448
0.2518 0.1080 0.0091
0.2482 0.3920 0.5091
0.7518 0.6080 0.4909
0.7482 0.8920 0.9909

# 3
Ce6PuHg2 (PBE, optimized geometry); symmetry = No. 71; E above lowest polymorph = 0.325 eV/atom
1.0
-0.0659 -4.9970 2.4512
4.7811 2.5107 5.2468
-7.1899 3.0401 -0.3055
Ce Pu Hg
6 1 2
direct
0.1434 0.3749 0.2872
0.8566 0.0877 0.7128
0.8566 0.6251 0.7128
0.5000 0.1719 0.0000
0.1434 0.9123 0.2872
0.5000 0.8281 0.0000
0.0000 0.0000 0.0000
0.6467 0.6465 0.2930
0.3533 0.3535 0.7070

# 4
CePuHg2 (PBE, optimized geometry); symmetry = No. 123; E above lowest polymorph = 0.041 eV/atom
1.0
3.8083 0.2387 -0.2281
-0.3915 5.2514 -1.0357
0.2483 1.0576 5.2558
Ce Pu Hg
1 1 2
direct
0.5000 0.5000 0.0000
0.5000 0.0000 0.5000
0.0000 0.0000 0.0000
0.0000 0.5000 0.5000

# 5
Ce5PuHg6 (PBE, optimized geometry); VASP energy = -4.08 eV per atom; symmetry = No. 12
1.0
-1.7180 4.4022 -2.4480
-5.0033 1.3198 5.8892
2.2503 7.0731 5.5380
Hg Ce Pu
6 5 1
direct
0.8325 0.5797 0.3350
0.8325 0.0853 0.3350
0.5000 0.7443 0.0000
0.5000 0.2557 0.0000
0.1675 0.9147 0.6650
0.1675 0.4203 0.6650
0.6622 0.1614 0.6772
0.3317 0.3312 0.3375
0.0000 0.5000 0.0000
0.6683 0.6688 0.6625
0.3378 0.8386 0.3228
0.0000 0.0000 0.0000

# 6
Ce2Pu3Hg2 (PBE, optimized geometry); VASP energy = -7.94 eV per atom; symmetry = No. 12
1.0
-3.4010 -1.4417 -3.4522
6.7557 -2.2787 -5.7039
4.3721 -3.5737 0.8874
Ce Pu Hg
2 3 2
direct
0.8950 0.7810 0.7900
0.1050 0.2190 0.2100
0.0000 0.0000 0.0000
0.6711 0.3013 0.3421
0.3289 0.6987 0.6579
0.6470 0.6851 0.2939
0.3530 0.3149 0.7061

# 7
Ce5PuHg2 (PBE, optimized geometry); VASP energy = -5.73 eV per atom; symmetry = No. 44
1.0
6.5371 0.0001 2.9754
3.2660 5.3990 1.4933
1.1002 -1.3254 6.2512
Ce Pu Hg
5 1 2
direct
0.7464 0.7329 0.2201
0.8093 0.2242 0.7113
0.3005 0.7330 0.2201
0.2552 0.2241 0.7113
0.2779 0.6763 0.7679
0.7779 0.1766 0.2676
0.2779 0.2574 0.1868
0.7779 0.7524 0.6918

# 8
Ce2PuHg (PBE, optimized geometry); symmetry = No. 123; E above lowest polymorph = 0.000 eV/atom
1.0
3.4932 0.0000 0.0000
0.0000 5.4739 0.0000
0.0000 0.0000 5.4739
Hg Ce Pu
1 2 1
direct
0.5000 0.0000 0.0000
0.0000 0.0000 0.5000
0.0000 0.5000 0.0000
0.5000 0.5000 0.5000

# 9
Ce2PuHg (PBE, optimized geometry); symmetry = No. 225; E above lowest polymorph = 0.031 eV/atom
1.0
5.3007 0.0000 0.0000
2.6503 4.5905 0.0000
2.6503 1.5302 4.3280
Hg Ce Pu
1 2 1
direct
0.0000 0.0000 0.0000
0.2500 0.2500 0.2500
0.7500 0.7500 0.7500
0.5000 0.5000 0.5000

# 10
CePuHg6 (PBE, optimized geometry); VASP energy = -3.02 eV per atom; symmetry = No. 38
1.0
5.1639 0.0000 0.0000
0.0000 6.8013 -0.2215
0.0000 -3.2099 6.0003
Ce Pu Hg
1 1 6
direct
0.0000 0.0841 0.9159
0.5000 0.4159 0.5841
0.0000 0.0813 0.4152
0.0000 0.5848 0.9187
0.0000 0.5830 0.4170
0.5000 0.4245 0.0878
0.5000 0.9122 0.5755
0.5000 0.9139 0.0861

# 11
Ce5Pu2Hg2 (PBE, optimized geometry); symmetry = No. 123; E above lowest polymorph = 0.000 eV/atom
1.0
5.1333 0.2301 0.0000
-0.2301 5.1333 0.0000
0.0000 0.0000 8.3303
Ce Pu Hg
5 2 2
direct
0.0374 0.5372 0.7699
0.5372 0.0374 0.2301
0.5372 0.0374 0.7699
0.0374 0.5372 0.2301
0.5374 0.5374 0.5000
0.5375 0.5375 0.1395
0.5375 0.5375 0.8605
0.0372 0.0372 0.0000
0.0373 0.0373 0.5000

# 12
CePuHg2 (PBE, optimized geometry); symmetry = No. 166; E above lowest polymorph = 0.158 eV/atom
1.0
-2.0037 2.5258 1.1593
-2.8560 -0.7412 1.7413
3.8695 0.7807 10.0495
Hg Ce Pu
2 1 1
direct
0.2495 0.2495 0.2514
0.7505 0.7505 0.7486
0.0000 0.0000 0.0000
0.5000 0.5000 0.5000

# 13
Ce5Pu2Hg2 (PBE, optimized geometry); symmetry = No. 64; E above lowest polymorph = 0.060 eV/atom
1.0
6.9184 0.0000 0.0000
0.0000 6.8924 0.0000
0.0000 -3.4462 9.2709
Ce Pu Hg
10 4 4
direct
0.0000 0.0000 0.0000
0.5000 0.5000 0.0000
0.7150 0.9075 0.2476
0.2850 0.3401 0.2476
0.2150 0.8401 0.2476
0.7850 0.4075 0.2476
0.2850 0.0925 0.7524
0.7150 0.6599 0.7524
0.7850 0.1599 0.7524
0.2150 0.5925 0.7524
0.6204 0.8800 0.0000
0.3796 0.1200 0.0000
0.1204 0.6200 0.0000
0.8796 0.3800 0.0000
0.0000 0.2441 0.4881
0.5000 0.7441 0.4881
0.0000 0.7559 0.5119
0.5000 0.2559 0.5119

# 14
Ce4PuHg (PBE, optimized geometry); VASP energy = -6.42 eV per atom; symmetry = No. 15
1.0
-1.8298 -0.4089 6.4410
7.2414 -1.9444 0.5489
-0.9832 7.8496 -2.5820
Ce Pu Hg
8 2 2
direct
0.2524 0.9523 0.5831
0.0467 0.8454 0.0774
0.1693 0.3692 0.4169
0.4693 0.7680 0.9226
0.7476 0.0477 0.4169
0.8307 0.6308 0.5831
0.9533 0.1546 0.9226
0.5307 0.2320 0.0774
0.8352 0.0852 0.1703
0.1648 0.9148 0.8297
0.3740 0.6240 0.2480
0.6260 0.3760 0.7520

# 15
Ce4PuHg3 (PBE, optimized geometry); VASP energy = -5.08 eV per atom; symmetry = No. 62
1.0
9.1858 0.0000 0.0000
0.0000 8.9047 0.0000
0.0000 0.0000 10.2361
Hg Ce Pu
12 16 4
direct
0.4348 0.5072 0.7500
0.9348 0.9928 0.7500
0.5652 0.4928 0.2500
0.0652 0.0072 0.2500
0.4920 0.7913 0.0349
0.9920 0.7087 0.4651
0.5080 0.2087 0.5349
0.0080 0.2913 0.9651
0.5080 0.2087 0.9651
0.0080 0.2913 0.5349
0.4920 0.7913 0.4651
0.9920 0.7087 0.0349
0.2125 0.9856 0.5533
0.7125 0.5144 0.9467
0.7875 0.0144 0.0533
0.2875 0.4856 0.4467
0.7875 0.0144 0.4467
0.2875 0.4856 0.0533
0.2125 0.9856 0.9467
0.7125 0.5144 0.5533
0.2523 0.2079 0.7500
0.7523 0.2921 0.7500
0.7477 0.7921 0.2500
0.2477 0.7079 0.2500
0.5558 0.9152 0.7500
0.0558 0.5848 0.7500
0.4442 0.0848 0.2500
0.9442 0.4152 0.2500
0.2797 0.8101 0.7500
0.7797 0.6899 0.7500
0.7203 0.1899 0.2500
0.2203 0.3101 0.2500

# 16
Ce2Pu2Hg3 (PBE, optimized geometry); VASP energy = -6.06 eV per atom; symmetry = No. 65
1.0
4.8995 0.0000 0.6502
0.0000 3.3541 0.0000
1.0402 0.0000 10.9468
Ce Pu Hg
2 2 3
direct
0.5757 0.5000 0.8486
0.4243 0.5000 0.1514
0.7093 0.5000 0.5814
0.2907 0.5000 0.4186
0.8484 0.0000 0.3032
0.0000 0.0000 0.0000
0.1516 0.0000 0.6968

# 17
Ce6PuHg2 (PBE, optimized geometry); symmetry = No. 225; E above lowest polymorph = 0.000 eV/atom
1.0
1.5799 -6.8734 0.0606
6.3213 -2.1838 -2.2395
4.7101 -2.4959 4.6204
Ce Pu Hg
6 1 2
direct
0.2549 0.2549 0.7446
0.2552 0.7453 0.2547
0.7448 0.2547 0.7453
0.7453 0.2552 0.2547
0.2547 0.7448 0.7453
0.7451 0.7451 0.2554
0.5000 0.5000 0.5000
0.2500 0.2500 0.2498
0.7500 0.7500 0.7502

# 18
Ce2PuHg (PBE, optimized geometry); symmetry = No. 11; E above lowest polymorph = 0.020 eV/atom
1.0
-0.0616 2.2006 3.1642
-7.2369 4.5204 -3.2846
4.1976 -8.6636 6.1069
Ce Pu Hg
4 2 2
direct
0.7500 0.7083 0.8637
0.2500 0.2917 0.1363
0.7500 0.9152 0.6457
0.2500 0.0848 0.3543
0.7500 0.4075 0.4788
0.2500 0.5925 0.5212
0.7500 0.6383 0.1888
0.2500 0.3617 0.8112

# 19
Ce3Pu3Hg (PBE, optimized geometry); VASP energy = -7.80 eV per atom; symmetry = No. 223
1.0
7.4766 0.0000 0.0000
0.0000 7.4766 0.0000
0.0000 0.0000 7.4766
Hg Ce Pu
2 6 6
direct
0.5000 0.5000 0.5000
0.0000 0.0000 0.0000
0.0000 0.2500 0.5000
0.0000 0.7500 0.5000
0.5000 0.0000 0.7500
0.7500 0.5000 0.0000
0.5000 0.0000 0.2500
0.2500 0.5000 0.0000
0.2500 0.0000 0.5000
0.0000 0.5000 0.2500
0.5000 0.7500 0.0000
0.7500 0.0000 0.5000
0.0000 0.5000 0.7500
0.5000 0.2500 0.0000

# 20
CePuHg2 (PBE, optimized geometry); symmetry = No. 74; E above lowest polymorph = 0.000 eV/atom
1.0
6.4629 0.0000 0.0000
3.2314 5.7535 0.4578
3.2314 1.5807 5.5510
Ce Pu Hg
2 2 4
direct
0.7500 0.2353 0.2647
0.2500 0.7647 0.7353
0.2500 0.1898 0.3102
0.7500 0.8102 0.6898
0.2321 0.2679 0.7679
0.2679 0.7321 0.2321
0.7679 0.7321 0.2321
0.7321 0.2679 0.7679

# 21
CePuHg2 (PBE, optimized geometry); symmetry = No. 225; E above lowest polymorph = 0.030 eV/atom
1.0
-1.1822 4.8331 2.0105
-4.2555 0.6015 3.2136
0.7037 0.9759 5.2298
Hg Ce Pu
2 1 1
direct
0.2500 0.2500 0.2500
0.7500 0.7500 0.7500
0.5000 0.5000 0.5000
0.0000 0.0000 0.0000

# 22
CePuHg2 (PBE, optimized geometry); symmetry = No. 123; E above lowest polymorph = 0.032 eV/atom
1.0
4.0010 0.0000 0.0000
0.0000 4.0010 0.0000
0.0000 0.0000 6.7719
Hg Ce Pu
2 1 1
direct
0.0000 0.0000 0.7523
0.0000 0.0000 0.2477
0.5000 0.5000 0.5000
0.5000 0.5000 0.0000